Entry 1:
DFT (PBE-GGA) results for an optimized crystal structure of Li2TaPt8.

Cell lengths 4.028, 6.803, 7.271 Å; angles 117.89, 106.08, 90.00 degrees
Fractional coordinates of all 11 atoms:
Li (0.195, 0.695, 0.391)
Li (0.805, 0.305, 0.609)
Ta (0.500, 0.000, 0.000)
Pt (0.659, 0.873, 0.317)
Pt (0.341, 0.556, 0.683)
Pt (0.151, 0.151, 0.302)
Pt (0.000, 0.300, 0.000)
Pt (0.849, 0.849, 0.698)
Pt (0.659, 0.444, 0.317)
Pt (0.341, 0.127, 0.683)
Pt (0.000, 0.700, 0.000)

Summary:
The total magnetization is 0.00 μB per cell. For the electronic total energy, the calculation gives -6.25 eV per atom.

Entry 2:
DFT (PBE-GGA) results for an optimized crystal structure of LiTaPt4.

Cell lengths 5.602, 5.602, 7.648 Å; angles 111.66, 111.65, 89.84 degrees
Fractional coordinates of all 12 atoms:
Li (0.750, 0.750, 0.000)
Li (0.250, 0.250, 0.000)
Ta (0.500, 0.000, 0.500)
Ta (0.000, 0.500, 0.500)
Pt (0.617, 0.617, 0.233)
Pt (0.617, 0.117, 0.234)
Pt (0.117, 0.617, 0.234)
Pt (0.117, 0.117, 0.233)
Pt (0.383, 0.883, 0.766)
Pt (0.383, 0.383, 0.767)
Pt (0.883, 0.883, 0.767)
Pt (0.883, 0.383, 0.766)

Summary:
The total magnetization is 0.00 μB per cell. For the electronic total energy, the calculation gives -6.73 eV per atom.

One value per record, in order, for density of states at the Fermi level: 0.872 0.574 states/eV/atom.
One value per record, in order, for formation energy from the elements: -434 -412 meV per atom.